[1]
Computed, not measured: a geometry-optimized Pm3Pr6Nd2Ho structure at the PBE level of DFT.

a b c (Å): 6.3794 6.3794 12.1636
angles (deg): 95.03 95.03 120.00
Atoms (fractional coordinates):
Pr 0.4151 0.0832 0.2495
Pr 0.7509 0.7509 0.2497
Pr 0.5849 0.9168 0.7505
Pr 0.0832 0.4151 0.2495
Pr 0.9168 0.5849 0.7505
Pr 0.2491 0.2491 0.7503
Nd 0.3332 0.6668 0.0000
Nd 0.6668 0.3332 0.0000
Ho 0.0000 0.0000 0.0000
Pm 0.1666 0.8334 0.5000
Pm 0.5000 0.5000 0.5000
Pm 0.8334 0.1666 0.5000

## Properties
Uncorrected energy: -56.9 eV/cell
N(E_F): 1.49 states/eV/atom
Magnetization: 0.0 Bohr magnetons per cell
ΔH_f (0 K): 12 meV/atom

=====

[2]
Computed, not measured: a geometry-optimized Pm6Pr3NdHo2 structure at the PBE level of DFT.

a b c (Å): 6.3216 6.3216 12.1044
angles (deg): 95.01 95.01 120.00
Atoms (fractional coordinates):
Pm 0.0825 0.4167 0.2463
Pm 0.2518 0.2518 0.7538
Pm 0.5833 0.9175 0.7537
Pm 0.7482 0.7482 0.2462
Pm 0.9175 0.5833 0.7537
Pm 0.4167 0.0825 0.2463
Pr 0.5000 0.5000 0.5000
Pr 0.1669 0.8331 0.5000
Pr 0.8331 0.1669 0.5000
Ho 0.3333 0.6667 0.0000
Ho 0.6667 0.3333 0.0000
Nd 0.0000 0.0000 0.0000

## Properties
Uncorrected energy: -56.6 eV/cell
N(E_F): 1.49 states/eV/atom
Magnetization: 0.0 Bohr magnetons per cell
ΔH_f (0 K): 16 meV/atom

=====

[3]
Computed, not measured: a geometry-optimized Pm5PrNdHo2 structure at the PBE level of DFT.

a b c (Å): 5.7161 10.5896 10.6830
angles (deg): 90.00 90.00 105.66
Atoms (fractional coordinates):
Pm 0.0168 0.0335 0.0247
Pm 0.5231 0.0462 0.2394
Pm 0.2806 0.5613 0.3107
Pm 0.9832 0.9665 0.5247
Pm 0.7194 0.4387 0.8107
Pm 0.6086 0.2171 0.5264
Pm 0.4769 0.9538 0.7394
Pm 0.2969 0.5937 0.7061
Pm 0.3914 0.7829 0.0264
Pm 0.7031 0.4063 0.2061
Ho 0.8877 0.7755 0.2330
Ho 0.8833 0.7665 0.8239
Ho 0.1167 0.2335 0.3239
Ho 0.1123 0.2245 0.7330
Pr 0.5855 0.1710 0.9487
Pr 0.4145 0.8290 0.4487
Nd 0.2013 0.4026 0.0111
Nd 0.7987 0.5974 0.5111

## Properties
Uncorrected energy: -82.2 eV/cell
N(E_F): 1.55 states/eV/atom
Magnetization: 0.0 Bohr magnetons per cell
ΔH_f (0 K): 149 meV/atom